Record 1
The following is a GGA+U calculation of crystalline NaV2SnO8 at its relaxed geometry, from Alexandria.

## Properties
- crystal system = trigonal
- total magnetization (μB/cell) = 1.07

Unit cell a=5.7065 b=5.7065 c=6.6936 alpha=90.00 beta=90.00 gamma=120.00
Space group P-3m1 (No. 164)
Unique sites:
1 Na 0.0000 0.0000 0.0000
2 V 0.3333 0.6667 0.2314
3 Sn 0.0000 0.0000 0.5000
4 O 0.1628 0.3255 0.3093
5 O 0.3333 0.6667 0.9826

Record 2
The following is a GGA+U calculation of crystalline Na2V2SnO6 at its relaxed geometry, from Alexandria.

## Properties
- crystal system = monoclinic
- total magnetization (μB/cell) = 8.00

Unit cell a=5.399 b=9.304 c=5.867 alpha=90.00 beta=108.19 gamma=90.00
Space group C2/m (No. 12)
Unique sites:
1 Na 0.000 0.171 0.000
2 V 0.000 0.335 0.500
3 Sn 0.000 0.000 0.500
4 O 0.230 0.172 0.692
5 O 0.234 0.500 0.693

It is found that the ρ values, taken in the order of the records, are 3.3 4.3 Mg/m³.
It is found that the VASP energy values, taken in the order of the records, are -6.6118 -6.5378 eV per atom.